A | Density functional theory data (PBE) for Si2IrCl after structural relaxation.

Summary:
The density of states at the Fermi level is 2.1 states/eV/cell. As for the mass density: 7.50 g cm⁻³.

```
data_Si2IrCl
_cell_length_a 4.803
_cell_length_b 3.617
_cell_length_c 3.617
_cell_angle_alpha 90.00
_cell_angle_beta 90.00
_cell_angle_gamma 90.00
_space_group_name_H-M_alt 'P 1'
_space_group_IT_number 1
loop_
_space_group_symop_operation_xyz
'x,y,z'
loop_
_atom_site_label
_atom_site_fract_x
_atom_site_fract_y
_atom_site_fract_z
_atom_site_occupancy
Si1 0.000 0.500 0.500 1
Si2 0.000 0.000 0.000 1
Cl1 0.500 0.500 0.000 1
Ir1 0.500 0.000 0.500 1
```

***

B | Density functional theory data (PBE) for Si2IrCl after structural relaxation.

Summary:
The density of states at the Fermi level is 1.7 states/eV/cell. As for the mass density: 7.17 g cm⁻³.

```
data_Si2IrCl
_cell_length_a 3.281
_cell_length_b 2.847
_cell_length_c 9.046
_cell_angle_alpha 51.01
_cell_angle_beta 90.00
_cell_angle_gamma 90.00
_space_group_name_H-M_alt 'P 1'
_space_group_IT_number 1
loop_
_space_group_symop_operation_xyz
'x,y,z'
loop_
_atom_site_label
_atom_site_fract_x
_atom_site_fract_y
_atom_site_fract_z
_atom_site_occupancy
Cl1 0.500 0.250 0.250 1
Si1 0.000 0.654 0.548 1
Si2 0.000 0.846 0.952 1
Ir1 0.500 0.750 0.750 1
```

***

C | Density functional theory data (PBE) for Si2IrCl after structural relaxation.

Summary:
The density of states at the Fermi level is 1.7 states/eV/cell. As for the mass density: 5.02 g cm⁻³.

```
data_Si2IrCl
_cell_length_a 5.920
_cell_length_b 5.920
_cell_length_c 6.795
_cell_angle_alpha 64.18
_cell_angle_beta 64.18
_cell_angle_gamma 90.00
_space_group_name_H-M_alt 'P 1'
_space_group_IT_number 1
loop_
_space_group_symop_operation_xyz
'x,y,z'
loop_
_atom_site_label
_atom_site_fract_x
_atom_site_fract_y
_atom_site_fract_z
_atom_site_occupancy
Si1 0.695 0.125 0.250 1
Si2 0.055 0.625 0.250 1
Si3 0.875 0.945 0.750 1
Si4 0.375 0.305 0.750 1
Ir1 0.750 0.250 0.500 1
Ir2 0.000 0.000 0.000 1
Cl1 0.500 0.500 0.000 1
Cl2 0.250 0.750 0.500 1
```

***

Sorted by energy, starting with the most stable: B, C, A.

***

A | Density functional theory data (PBE) for Si2IrCl after structural relaxation.

Summary:
The density of states at the Fermi level is 1.6 states/eV/cell. As for the mass density: 7.33 g cm⁻³.

```
data_Si2IrCl
_cell_length_a 5.750
_cell_length_b 5.750
_cell_length_c 5.750
_cell_angle_alpha 151.42
_cell_angle_beta 134.66
_cell_angle_gamma 54.47
_space_group_name_H-M_alt 'P 1'
_space_group_IT_number 1
loop_
_space_group_symop_operation_xyz
'x,y,z'
loop_
_atom_site_label
_atom_site_fract_x
_atom_site_fract_y
_atom_site_fract_z
_atom_site_occupancy
Si1 0.782 0.282 0.500 1
Si2 0.023 0.023 0.000 1
Ir1 0.216 0.716 0.500 1
Cl1 0.479 0.479 0.000 1
```

***

B | Density functional theory data (PBE) for Si2IrCl after structural relaxation.

Summary:
The density of states at the Fermi level is 4.2 states/eV/cell. As for the mass density: 7.64 g cm⁻³.

```
data_Si2IrCl
_cell_length_a 4.604
_cell_length_b 4.604
_cell_length_c 4.604
_cell_angle_alpha 125.96
_cell_angle_beta 125.96
_cell_angle_gamma 79.95
_space_group_name_H-M_alt 'P 1'
_space_group_IT_number 1
loop_
_space_group_symop_operation_xyz
'x,y,z'
loop_
_atom_site_label
_atom_site_fract_x
_atom_site_fract_y
_atom_site_fract_z
_atom_site_occupancy
Ir1 0.750 0.250 0.500 1
Si1 0.000 0.000 0.000 1
Si2 0.500 0.500 0.000 1
Cl1 0.250 0.750 0.500 1
```

***

C | Density functional theory data (PBE) for Si2IrCl after structural relaxation.

Summary:
The density of states at the Fermi level is 1.7 states/eV/cell. As for the mass density: 6.60 g cm⁻³.

```
data_Si2IrCl
_cell_length_a 2.979
_cell_length_b 3.287
_cell_length_c 7.295
_cell_angle_alpha 90.00
_cell_angle_beta 90.00
_cell_angle_gamma 90.00
_space_group_name_H-M_alt 'P 1'
_space_group_IT_number 1
loop_
_space_group_symop_operation_xyz
'x,y,z'
loop_
_atom_site_label
_atom_site_fract_x
_atom_site_fract_y
_atom_site_fract_z
_atom_site_occupancy
Si1 0.500 0.500 0.164 1
Si2 0.000 0.000 0.964 1
Cl1 0.000 0.000 0.557 1
Ir1 0.500 0.500 0.815 1
```

***

D | Density functional theory data (PBE) for Si2IrCl after structural relaxation.

Summary:
The density of states at the Fermi level is 2.1 states/eV/cell. As for the mass density: 7.19 g cm⁻³.

```
data_Si2IrCl
_cell_length_a 3.157
_cell_length_b 2.933
_cell_length_c 7.077
_cell_angle_alpha 90.00
_cell_angle_beta 90.00
_cell_angle_gamma 90.00
_space_group_name_H-M_alt 'P 1'
_space_group_IT_number 1
loop_
_space_group_symop_operation_xyz
'x,y,z'
loop_
_atom_site_label
_atom_site_fract_x
_atom_site_fract_y
_atom_site_fract_z
_atom_site_occupancy
Si1 0.000 0.000 0.543 1
Si2 0.000 0.000 0.957 1
Ir1 0.500 0.500 0.750 1
Cl1 0.500 0.500 0.250 1
```

***

Sorted by energy, starting with the most stable: D, C, A, B.

***

A | Density functional theory data (PBE) for Si2IrCl after structural relaxation.

Summary:
The density of states at the Fermi level is 0.4 states/eV/cell. As for the mass density: 7.13 g cm⁻³.

```
data_Si2IrCl
_cell_length_a 6.620
_cell_length_b 5.037
_cell_length_c 2.939
_cell_angle_alpha 70.39
_cell_angle_beta 93.83
_cell_angle_gamma 132.58
_space_group_name_H-M_alt 'P 1'
_space_group_IT_number 1
loop_
_space_group_symop_operation_xyz
'x,y,z'
loop_
_atom_site_label
_atom_site_fract_x
_atom_site_fract_y
_atom_site_fract_z
_atom_site_occupancy
Ir1 0.500 0.500 0.000 1
Si1 0.500 0.000 0.500 1
Si2 0.000 0.000 0.000 1
Cl1 0.000 0.500 0.500 1
```

***

B | Density functional theory data (PBE) for Si2IrCl after structural relaxation.

Summary:
The density of states at the Fermi level is 1.9 states/eV/cell. As for the mass density: 7.67 g cm⁻³.

```
data_Si2IrCl
_cell_length_a 2.805
_cell_length_b 4.797
_cell_length_c 4.568
_cell_angle_alpha 90.00
_cell_angle_beta 90.00
_cell_angle_gamma 90.00
_space_group_name_H-M_alt 'P 1'
_space_group_IT_number 1
loop_
_space_group_symop_operation_xyz
'x,y,z'
loop_
_atom_site_label
_atom_site_fract_x
_atom_site_fract_y
_atom_site_fract_z
_atom_site_occupancy
Ir1 0.000 0.500 0.500 1
Si1 0.000 0.000 0.000 1
Si2 0.500 0.500 0.000 1
Cl1 0.500 0.000 0.500 1
```

***

Sorted by energy, starting with the most stable: A, B.

***

A | Density functional theory data (PBE) for SiIrCl after structural relaxation.

Summary:
The density of states at the Fermi level is 2.8 states/eV/cell. As for the mass density: 6.72 g cm⁻³.

```
data_SiIrCl
_cell_length_a 9.390
_cell_length_b 3.213
_cell_length_c 8.384
_cell_angle_alpha 90.00
_cell_angle_beta 90.58
_cell_angle_gamma 90.00
_space_group_name_H-M_alt 'P 1'
_space_group_IT_number 1
loop_
_space_group_symop_operation_xyz
'x,y,z'
loop_
_atom_site_label
_atom_site_fract_x
_atom_site_fract_y
_atom_site_fract_z
_atom_site_occupancy
Ir1 0.984 0.000 0.453 1
Ir2 0.984 0.500 0.953 1
Ir3 0.799 0.500 0.687 1
Ir4 0.799 0.000 0.187 1
Si1 0.007 0.500 0.256 1
Si2 0.738 0.000 0.491 1
Si3 0.738 0.500 0.991 1
Si4 0.007 0.000 0.756 1
Cl1 0.207 0.500 0.120 1
Cl2 0.549 0.000 0.349 1
Cl3 0.207 0.000 0.620 1
Cl4 0.549 0.500 0.849 1
```

***

B | Density functional theory data (PBE) for SiIrCl after structural relaxation.

Summary:
The density of states at the Fermi level is 0.0 states/eV/cell. As for the mass density: 6.63 g cm⁻³.

```
data_SiIrCl
_cell_length_a 3.654
_cell_length_b 3.654
_cell_length_c 5.538
_cell_angle_alpha 90.00
_cell_angle_beta 90.00
_cell_angle_gamma 120.00
_space_group_name_H-M_alt 'P 1'
_space_group_IT_number 1
loop_
_space_group_symop_operation_xyz
'x,y,z'
loop_
_atom_site_label
_atom_site_fract_x
_atom_site_fract_y
_atom_site_fract_z
_atom_site_occupancy
Si1 0.333 0.667 0.539 1
Ir1 0.667 0.333 0.382 1
Cl1 0.000 0.000 0.079 1
```

***

C | Density functional theory data (PBE) for SiIrCl after structural relaxation.

Summary:
The density of states at the Fermi level is 0.4 states/eV/cell. As for the mass density: 7.72 g cm⁻³.

```
data_SiIrCl
_cell_length_a 6.318
_cell_length_b 6.318
_cell_length_c 6.318
_cell_angle_alpha 152.14
_cell_angle_beta 152.13
_cell_angle_gamma 39.82
_space_group_name_H-M_alt 'P 1'
_space_group_IT_number 1
loop_
_space_group_symop_operation_xyz
'x,y,z'
loop_
_atom_site_label
_atom_site_fract_x
_atom_site_fract_y
_atom_site_fract_z
_atom_site_occupancy
Ir1 0.216 0.216 0.000 1
Si1 0.805 0.805 0.000 1
Cl1 0.980 0.980 0.000 1
```

***

Sorted by energy, starting with the most stable: A, C, B.